Here is a relaxed LiCaSbI2 crystal from Alexandria via LeMat-Bulk. Energies are from PBE.

a b c (Å): 5.3910 5.3910 5.4532
angles (deg): 90.00 90.00 90.00
With the nearest neighbours (Å) after each atom.
Atoms (fractional coordinates):
I 0.0000 0.5000 0.0000  2 Li 2.70
I 0.5000 0.0000 0.0000  2 Li 2.70
Sb 0.0000 0.0000 0.5000  2 Li 2.73
Ca 0.5000 0.5000 0.5000  4 Sb 3.81, 8 I 3.83
Li 0.0000 0.0000 0.0000  4 I 2.70, 2 Sb 2.73

Output
The calculation puts the formation energy from raw total energies at -0.473 eV per atom. As for the symmetry: No. 123. The value obtained for the total DFT energy (no corrections) is -13.5 eV/cell. Its crystal system is tetragonal.